# 1
Hg2I3Br | PBEsol | optimized geometry

The structure in CIF format:
```
data_Hg2I3Br
_chemical_formula_sum 'Hg2 I3 Br1'
_cell_length_a 4.2881
_cell_length_b 4.2881
_cell_length_c 13.1424
_cell_angle_alpha 90.35
_cell_angle_beta 90.35
_cell_angle_gamma 64.86
_symmetry_space_group_name_H-M 'P 1'
_symmetry_Int_Tables_number 1
_symmetry_space_group_name_Hall 'P 1'
loop_
_atom_site_label
_atom_site_type_symbol
_atom_site_fract_x
_atom_site_fract_y
_atom_site_fract_z
Hg1 Hg 0.0000 0.0000 0.0000
Hg2 Hg 0.6893 0.6893 0.4889
I1 I 0.2691 0.2691 0.8609
I2 I 0.7225 0.7225 0.1337
I3 I 0.9666 0.9666 0.6223
Br1 Br 0.4254 0.4254 0.3644
```

Output
Magnetization = 0.00 μB/f.u.
Formation energy from raw total energies = -0.28 eV/atom
E = -1.669 eV/atom

=====

# 2
HgIBr | PBEsol | optimized geometry

The structure in CIF format:
```
data_HgIBr
_chemical_formula_sum 'Hg2 I2 Br2'
_cell_length_a 4.2400
_cell_length_b 4.2400
_cell_length_c 12.8269
_cell_angle_alpha 90.00
_cell_angle_beta 90.00
_cell_angle_gamma 114.02
_symmetry_space_group_name_H-M 'P 1'
_symmetry_Int_Tables_number 1
_symmetry_space_group_name_Hall 'P 1'
loop_
_atom_site_label
_atom_site_type_symbol
_atom_site_fract_x
_atom_site_fract_y
_atom_site_fract_z
Hg1 Hg 0.1595 0.8405 0.5000
Hg2 Hg 0.8405 0.1595 0.0000
I1 I 0.1239 0.8761 0.1349
I2 I 0.8761 0.1239 0.6349
Br1 Br 0.4241 0.5759 0.3707
Br2 Br 0.5759 0.4241 0.8707
```

Output
Magnetization = 0.00 μB/f.u.
Formation energy from raw total energies = -0.33 eV/atom
E = -1.730 eV/atom

=====

# 3
Hg2IBr3 | PBEsol | optimized geometry

The structure in CIF format:
```
data_Hg2IBr3
_chemical_formula_sum 'Hg2 I1 Br3'
_cell_length_a 4.1501
_cell_length_b 4.1501
_cell_length_c 12.6856
_cell_angle_alpha 90.29
_cell_angle_beta 90.29
_cell_angle_gamma 65.97
_symmetry_space_group_name_H-M 'P 1'
_symmetry_Int_Tables_number 1
_symmetry_space_group_name_Hall 'P 1'
loop_
_atom_site_label
_atom_site_type_symbol
_atom_site_fract_x
_atom_site_fract_y
_atom_site_fract_z
Hg1 Hg 0.0000 0.0000 0.0000
Hg2 Hg 0.6891 0.6891 0.4876
I1 I 0.4050 0.4050 0.6285
Br1 Br 0.2814 0.2814 0.1234
Br2 Br 0.7242 0.7242 0.8727
Br3 Br 0.9650 0.9650 0.3598
```

Output
Magnetization = 0.00 μB/f.u.
Formation energy from raw total energies = -0.37 eV/atom
E = -1.791 eV/atom

=====

# 4
Re2HgIBr | PBEsol | optimized geometry

The structure in CIF format:
```
data_Re2HgIBr
_chemical_formula_sum 'Re2 Hg1 I1 Br1'
_cell_length_a 5.3330
_cell_length_b 5.3330
_cell_length_c 5.2598
_cell_angle_alpha 90.00
_cell_angle_beta 90.00
_cell_angle_gamma 90.00
_symmetry_space_group_name_H-M 'P 1'
_symmetry_Int_Tables_number 1
_symmetry_space_group_name_Hall 'P 1'
loop_
_atom_site_label
_atom_site_type_symbol
_atom_site_fract_x
_atom_site_fract_y
_atom_site_fract_z
Re1 Re 0.0000 0.5000 0.0000
Re2 Re 0.5000 0.0000 0.0000
Hg1 Hg 0.0000 0.0000 0.0000
I1 I 0.5000 0.5000 0.5000
Br1 Br 0.0000 0.0000 0.5000
```

Output
Magnetization = 8.91 μB/f.u.
Formation energy from raw total energies = 2.45 eV/atom
E = -3.724 eV/atom

=====

Please write out number 3 again, unchanged.
Hg2IBr3 | PBEsol | optimized geometry

The structure in CIF format:
```
data_Hg2IBr3
_chemical_formula_sum 'Hg2 I1 Br3'
_cell_length_a 4.1501
_cell_length_b 4.1501
_cell_length_c 12.6856
_cell_angle_alpha 90.29
_cell_angle_beta 90.29
_cell_angle_gamma 65.97
_symmetry_space_group_name_H-M 'P 1'
_symmetry_Int_Tables_number 1
_symmetry_space_group_name_Hall 'P 1'
loop_
_atom_site_label
_atom_site_type_symbol
_atom_site_fract_x
_atom_site_fract_y
_atom_site_fract_z
Hg1 Hg 0.0000 0.0000 0.0000
Hg2 Hg 0.6891 0.6891 0.4876
I1 I 0.4050 0.4050 0.6285
Br1 Br 0.2814 0.2814 0.1234
Br2 Br 0.7242 0.7242 0.8727
Br3 Br 0.9650 0.9650 0.3598
```

Output
Magnetization = 0.00 μB/f.u.
Formation energy from raw total energies = -0.37 eV/atom
E = -1.791 eV/atom

=====

Q: Which of these has the highest magnetization?
A: Re2HgIBr

=====

Q: Which of these has the lowest formation energy from raw total energies?
A: Hg2IBr3

=====

Q: Which value of formation energy from raw total energies does entry 2 give?
A: -0.33 eV/atom